{"formula": "SiNi2Mo", "functional": "GGA-PBE", "state": "relaxed", "lattice": [[-1.857, -0.628, -3.234], [2.327, -0.397, -1.259], [0.927, -5.012, 0.442]], "species": ["Ni", "Ni", "Mo", "Si"], "fractional_positions": [[0.500, 0.439, 0.246], [0.000, 0.051, 0.022], [0.500, 0.691, 0.742], [0.000, 0.319, 0.489]], "sg": "Amm2, No. 38", "total_energy_ev_per_cell": -28.76, "total_magnetization_mub_per_fu": 0.0}

---

{"formula": "SiNiMo2", "functional": "GGA-PBE", "state": "relaxed", "lattice": [[-0.895, -1.638, -4.371], [4.561, -0.299, 1.304], [-0.155, -2.597, 0.761]], "species": ["Mo", "Mo", "Si", "Ni"], "fractional_positions": [[0.500, 0.500, 0.000], [0.000, 0.000, 0.000], [0.000, 0.500, 0.500], [0.500, 0.000, 0.500]], "sg": "C2/m, No. 12", "total_energy_ev_per_cell": -33.24, "total_magnetization_mub_per_fu": 0.0}